First-principles (PBE) data for a relaxed structure of Ac3Y2HoTe6, as listed in Alexandria via LeMat-Bulk.

Values from the calculation:
crystal system = monoclinic
formation energy without anion corrections = -1.39 eV per atom
electronic total energy = -5.445 eV per atom

Lattice parameters (Å, degrees): 10.3306 10.3306 9.3771 107.24 107.24 24.64
With the nearest neighbours (Å) after each atom.
Atoms (fractional coordinates):
1 Ac 0.0000 0.0000 0.0000  6 Te 3.34-3.36
2 Ac 0.3327 0.3327 0.6664  6 Te 3.35-3.36
3 Ac 0.6673 0.6673 0.3336  6 Te 3.35-3.36
4 Y 0.3329 0.3329 0.1661  6 Te 3.09-3.10
5 Y 0.6671 0.6671 0.8339  6 Te 3.09-3.10
6 Ho 0.0000 0.0000 0.5000  6 Te 3.08
7 Te 0.1598 0.1598 0.5977  1 Ho 3.08, 2 Y 3.10, 3 Ac 3.35
8 Te 0.1724 0.1724 0.0683  3 Y 3.09, 3 Ac 3.34-3.35
9 Te 0.4943 0.4943 0.2667  2 Ho 3.08, 1 Y 3.10, 3 Ac 3.36
10 Te 0.5057 0.5057 0.7333  2 Ho 3.08, 1 Y 3.10, 3 Ac 3.36
11 Te 0.8276 0.8276 0.9317  3 Y 3.09, 3 Ac 3.34-3.35
12 Te 0.8402 0.8402 0.4023  1 Ho 3.08, 2 Y 3.10, 3 Ac 3.35